KMnNO2 at its PBEsol-relaxed geometry. Source: the Alexandria database, functional SCAN.

Unit cell a=3.5921 b=3.8163 c=3.8163 alpha=90.00 beta=90.00 gamma=90.00
Closest atoms and distances in Å follow each position.
Element x y z (fractional)
K (0.5000, 0.5000, 0.5000)  8 O 2.62, 4 N 2.70
Mn (0.0000, 0.0000, 0.0000)  2 N 1.80, 4 O 1.91
O (0.0000, 0.0000, 0.5000)  2 Mn 1.91
O (0.0000, 0.5000, 0.0000)  2 Mn 1.91
N (0.5000, 0.0000, 0.0000)  2 Mn 1.80

* mass density: 4.45 Mg/m³
* total moment: 1.2 μB/cell
* DFT total energy: -10.541 eV/atom
* raw formation energy: -422 kJ/mol of formula units



KNaMn3 at its PBEsol-relaxed geometry. Source: the Alexandria database, functional SCAN.

Unit cell a=5.5017 b=5.5017 c=5.5017 alpha=90.00 beta=90.00 gamma=90.00
Closest atoms and distances in Å follow each position.
Element x y z (fractional)
Na (0.5000, 0.5000, 0.5000)  12 Mn 3.89
K (0.0000, 0.0000, 0.0000)  6 Mn 2.75
Mn (0.0000, 0.5000, 0.0000)  2 K 2.75
Mn (0.0000, 0.0000, 0.5000)  2 K 2.75
Mn (0.5000, 0.0000, 0.0000)  2 K 2.75

* mass density: 2.26 Mg/m³
* total moment: 13.8 μB/cell
* DFT total energy: -11.898 eV/atom
* ΔH_f (0 K): 1.564 eV/atom



K2NaMnO4 at its PBEsol-relaxed geometry. Source: the Alexandria database, functional SCAN.

Unit cell a=7.6415 b=7.6415 c=9.9550 alpha=110.48 beta=110.48 gamma=95.06
Closest atoms and distances in Å follow each position.
Element x y z (fractional)
K (0.3201, 0.3201, 0.0000)  2 O 2.61
K (0.6799, 0.6799, 0.0000)  2 O 2.61
K (0.5701, 0.0701, 0.5000)  2 O 2.61
K (0.3604, 0.8604, 0.7207)  8 O 2.79-3.00
K (0.1104, 0.1104, 0.2207)  8 O 2.79-3.00
K (0.8896, 0.8896, 0.7793)  8 O 2.79-3.00
K (0.9299, 0.4299, 0.5000)  2 O 2.61
K (0.1396, 0.6397, 0.2793)  8 O 2.79-3.00
Na (0.3414, 0.3414, 0.6829)  4 O 2.33-2.34
Na (0.5914, 0.0914, 0.1829)  4 O 2.33-2.34
Na (0.9086, 0.4086, 0.8171)  4 O 2.33-2.34
Na (0.6586, 0.6586, 0.3171)  4 O 2.33-2.34
Mn (0.0072, 0.9928, 0.5000)  4 O 1.69-1.70
Mn (0.2428, 0.7572, 0.0000)  4 O 1.69-1.70
Mn (0.7572, 0.2428, 0.0000)  4 O 1.69-1.70
Mn (0.4928, 0.5072, 0.5000)  4 O 1.69-1.70
O (0.9707, 0.7789, 0.5137)  1 Mn 1.69
O (0.0289, 0.7207, 0.0137)  1 Mn 1.69
O (0.5987, 0.2596, 0.8384)  1 Mn 1.70
O (0.2793, 0.9711, 0.9863)  1 Mn 1.69
O (0.6513, 0.4904, 0.6616)  1 Mn 1.70
O (0.5096, 0.3487, 0.3384)  1 Mn 1.70
O (0.8288, 0.9897, 0.3384)  1 Mn 1.70
O (0.2211, 0.0293, 0.4863)  1 Mn 1.69
O (0.2397, 0.5788, 0.8384)  1 Mn 1.70
O (0.9848, 0.2929, 0.0137)  1 Mn 1.69
O (0.7071, 0.0152, 0.9863)  1 Mn 1.69
O (0.5429, 0.7348, 0.5137)  1 Mn 1.69
O (0.2652, 0.4571, 0.4863)  1 Mn 1.69
O (0.0103, 0.1712, 0.6616)  1 Mn 1.70
O (0.7404, 0.4013, 0.1616)  1 Mn 1.70
O (0.4212, 0.7603, 0.1616)  1 Mn 1.70

* mass density: 2.95 Mg/m³
* total moment: 8.0 μB/cell
* DFT total energy: -9.966 eV/atom
* raw formation energy: -1513 kJ/mol of formula units



KMnNbOs2 at its PBEsol-relaxed geometry. Source: the Alexandria database, functional SCAN.

Unit cell a=4.7893 b=4.7893 c=4.9929 alpha=90.00 beta=90.00 gamma=90.00
Closest atoms and distances in Å follow each position.
Element x y z (fractional)
Nb (0.0000, 0.0000, 0.0000)  4 Os 2.39, 2 Mn 2.50
Mn (0.0000, 0.0000, 0.5000)  2 Nb 2.50
Os (0.0000, 0.5000, 0.0000)  2 Nb 2.39
Os (0.5000, 0.0000, 0.0000)  2 Nb 2.39
K (0.5000, 0.5000, 0.5000)  4 Mn 3.39, 8 Os 3.46

* mass density: 8.23 Mg/m³
* total moment: 5.0 μB/cell
* DFT total energy: -39.123 eV/atom
* ΔH_f (0 K): 1.571 eV/atom



KMn2NbRh at its PBEsol-relaxed geometry. Source: the Alexandria database, functional SCAN.

Unit cell a=4.7542 b=4.9859 c=4.9859 alpha=90.00 beta=90.00 gamma=90.00
Closest atoms and distances in Å follow each position.
Element x y z (fractional)
Nb (0.5000, 0.0000, 0.0000)  2 Rh 2.38
Mn (0.0000, 0.0000, 0.5000)  2 Rh 2.49
Mn (0.0000, 0.5000, 0.0000)  2 Rh 2.49
Rh (0.0000, 0.0000, 0.0000)  2 Nb 2.38, 4 Mn 2.49
K (0.5000, 0.5000, 0.5000)  8 Mn 3.44, 4 Nb 3.53

* mass density: 4.84 Mg/m³
* total moment: 7.0 μB/cell
* DFT total energy: -21.901 eV/atom
* ΔH_f (0 K): 0.447 eV/atom



K2MnNi at its PBEsol-relaxed geometry. Source: the Alexandria database, functional SCAN.

Unit cell a=3.3756 b=5.7572 c=6.7998 alpha=115.05 beta=104.37 gamma=90.00
Closest atoms and distances in Å follow each position.
Element x y z (fractional)
K (0.0400, 0.0400, 0.0800)  4 K 3.38-3.71, 2 Ni 3.49, 4 Mn 3.60
K (0.2370, 0.7370, 0.4740)  4 K 3.38-3.71, 4 Ni 3.41, 2 Mn 3.64
Mn (0.4255, 0.4255, 0.8510)  2 Ni 2.27
Ni (0.7975, 0.2975, 0.5950)  2 Mn 2.27

* mass density: 2.77 Mg/m³
* total moment: 5.0 μB/cell
* DFT total energy: -12.237 eV/atom
* ΔE to the lowest computed polymorph: 0.138 eV/atom
* ΔH_f (0 K): 0.535 eV/atom



K2MnNi at its PBEsol-relaxed geometry. Source: the Alexandria database, functional SCAN.

Unit cell a=3.1975 b=3.5657 c=10.2930 alpha=90.00 beta=106.05 gamma=90.00
Closest atoms and distances in Å follow each position.
Element x y z (fractional)
K (0.9809, 0.0000, 0.9151)  1 Mn 3.11, 2 K 3.20, 2 Ni 3.40
K (0.8384, 0.5000, 0.3328)  1 Ni 3.12, 2 K 3.20
Mn (0.5686, 0.0000, 0.6038)  4 Ni 2.43-2.44
Ni (0.1122, 0.5000, 0.6482)  4 Mn 2.43-2.44

* mass density: 2.82 Mg/m³
* total moment: 4.8 μB/cell
* DFT total energy: -12.375 eV/atom
* ΔE to the lowest computed polymorph: 0.000 eV/atom
* ΔH_f (0 K): 0.396 eV/atom



KMnNi2 at its PBEsol-relaxed geometry. Source: the Alexandria database, functional SCAN.

Unit cell a=2.6906 b=5.2555 c=5.5569 alpha=118.22 beta=104.01 gamma=90.00
Closest atoms and distances in Å follow each position.
Element x y z (fractional)
K (0.5000, 0.0000, 0.0000)  2 K 2.69, 4 Mn 2.95
Mn (0.0000, 0.5000, 0.0000)  4 Ni 2.36
Ni (0.7054, 0.7054, 0.4109)  2 Mn 2.36
Ni (0.2946, 0.2946, 0.5891)  2 Mn 2.36

* mass density: 5.27 Mg/m³
* total moment: 5.2 μB/cell
* DFT total energy: -13.984 eV/atom
* ΔE to the lowest computed polymorph: 0.401 eV/atom
* ΔH_f (0 K): 0.749 eV/atom



KMnNi2 at its PBEsol-relaxed geometry. Source: the Alexandria database, functional SCAN.

Unit cell a=2.7207 b=4.6999 c=4.6999 alpha=90.00 beta=90.00 gamma=90.00
Closest atoms and distances in Å follow each position.
Element x y z (fractional)
K (0.5000, 0.5000, 0.5000)  8 Ni 2.72, 2 K 2.72
Mn (0.5000, 0.0000, 0.0000)  8 Ni 2.72, 2 Mn 2.72
Ni (0.0000, 0.0000, 0.5000)  4 K 2.72, 4 Mn 2.72, 2 Ni 2.72
Ni (0.0000, 0.5000, 0.0000)  4 K 2.72, 4 Mn 2.72, 2 Ni 2.72

* mass density: 5.84 Mg/m³
* total moment: 5.1 μB/cell
* DFT total energy: -13.972 eV/atom
* ΔE to the lowest computed polymorph: 0.413 eV/atom
* ΔH_f (0 K): 0.760 eV/atom



KMnNi2 at its PBEsol-relaxed geometry. Source: the Alexandria database, functional SCAN.

Unit cell a=4.4374 b=4.4374 c=4.4374 alpha=60.00 beta=60.00 gamma=60.00
Closest atoms and distances in Å follow each position.
Element x y z (fractional)
K (0.5000, 0.5000, 0.5000)  8 Ni 2.72
Mn (0.0000, 0.0000, 0.0000)  8 Ni 2.72
Ni (0.7500, 0.7500, 0.7500)  4 Mn 2.72, 4 K 2.72
Ni (0.2500, 0.2500, 0.2500)  4 K 2.72, 4 Mn 2.72

* mass density: 5.68 Mg/m³
* total moment: 4.9 μB/cell
* DFT total energy: -13.857 eV/atom
* ΔE to the lowest computed polymorph: 0.528 eV/atom
* ΔH_f (0 K): 0.875 eV/atom



KMnNi2 at its PBEsol-relaxed geometry. Source: the Alexandria database, functional SCAN.

Unit cell a=2.8796 b=2.8745 c=7.6718 alpha=90.00 beta=90.07 gamma=90.00
Closest atoms and distances in Å follow each position.
Element x y z (fractional)
K (0.5000, 0.5000, 0.0000)  4 K 2.87-2.88
Mn (0.5000, 0.5000, 0.5000)  8 Ni 2.41
Ni (0.0006, 0.0000, 0.6695)  4 Mn 2.41, 1 Ni 2.60
Ni (0.9994, 0.0000, 0.3305)  4 Mn 2.41, 1 Ni 2.60

* mass density: 5.53 Mg/m³
* total moment: 4.4 μB/cell
* DFT total energy: -14.386 eV/atom
* ΔE to the lowest computed polymorph: 0.000 eV/atom
* ΔH_f (0 K): 0.347 eV/atom